1.
VASP calculation (GGA-PBE) on an optimized crystal structure of Ac3Hg8Pb3.

CIF file:
```
data_Ac3Hg8Pb3
_chemical_formula_sum 'Ac3 Hg8 Pb3'
_symmetry_space_group_name_H-M 'P 1'
_symmetry_Int_Tables_number 1
_symmetry_space_group_name_Hall 'P 1'
_cell_length_a 9.545
_cell_length_b 9.545
_cell_length_c 9.545
_cell_angle_alpha 149.99
_cell_angle_beta 107.38
_cell_angle_gamma 80.53
loop_
_atom_site_label
_atom_site_type_symbol
_atom_site_fract_x
_atom_site_fract_y
_atom_site_fract_z
_atom_site_occupancy
Ac1 Ac 0.000 0.000 0.000 1
Ac2 Ac 0.305 0.305 0.000 1
Ac3 Ac 0.695 0.695 0.000 1
Hg1 Hg 0.037 0.662 0.375 1
Hg2 Hg 0.122 0.851 0.271 1
Hg3 Hg 0.288 0.662 0.625 1
Hg4 Hg 0.420 0.149 0.271 1
Hg5 Hg 0.580 0.851 0.729 1
Hg6 Hg 0.712 0.338 0.375 1
Hg7 Hg 0.878 0.149 0.729 1
Hg8 Hg 0.963 0.338 0.625 1
Pb1 Pb 0.293 0.500 0.793 1
Pb2 Pb 0.500 0.000 0.500 1
Pb3 Pb 0.707 0.500 0.207 1
```

Properties
**Space-group type**: Immm, No. 71
**M_tot**: 0.0 μB per cell
**Energy relative to the elements**: -0.31 eV/atom

***

2.
VASP calculation (GGA-PBE) on an optimized crystal structure of Ac5Hg4Pb.

CIF file:
```
data_Ac5Hg4Pb
_chemical_formula_sum 'Ac5 Hg4 Pb1'
_symmetry_space_group_name_H-M 'P 1'
_symmetry_Int_Tables_number 1
_symmetry_space_group_name_Hall 'P 1'
_cell_length_a 4.031
_cell_length_b 4.031
_cell_length_c 20.740
_cell_angle_alpha 90.00
_cell_angle_beta 90.00
_cell_angle_gamma 90.00
loop_
_atom_site_label
_atom_site_type_symbol
_atom_site_fract_x
_atom_site_fract_y
_atom_site_fract_z
_atom_site_occupancy
Ac1 Ac 0.000 0.000 0.000 1
Ac2 Ac 0.000 0.000 0.196 1
Ac3 Ac 0.000 0.000 0.394 1
Ac4 Ac 0.000 0.000 0.606 1
Ac5 Ac 0.000 0.000 0.804 1
Hg1 Hg 0.500 0.500 0.099 1
Hg2 Hg 0.500 0.500 0.292 1
Hg3 Hg 0.500 0.500 0.708 1
Hg4 Hg 0.500 0.500 0.901 1
Pb1 Pb 0.500 0.500 0.500 1
```

Properties
**Space-group type**: P4/mmm, No. 123
**M_tot**: 0.7 μB per cell
**Energy relative to the elements**: -0.47 eV/atom

***

3.
VASP calculation (GGA-PBE) on an optimized crystal structure of Ac12HgPb6.

CIF file:
```
data_Ac12HgPb6
_chemical_formula_sum 'Ac12 Hg1 Pb6'
_symmetry_space_group_name_H-M 'P 1'
_symmetry_Int_Tables_number 1
_symmetry_space_group_name_Hall 'P 1'
_cell_length_a 9.677
_cell_length_b 9.677
_cell_length_c 9.677
_cell_angle_alpha 100.38
_cell_angle_beta 100.38
_cell_angle_gamma 100.38
loop_
_atom_site_label
_atom_site_type_symbol
_atom_site_fract_x
_atom_site_fract_y
_atom_site_fract_z
_atom_site_occupancy
Ac1 Ac 0.039 0.942 0.674 1
Ac2 Ac 0.058 0.326 0.961 1
Ac3 Ac 0.190 0.556 0.417 1
Ac4 Ac 0.326 0.961 0.058 1
Ac5 Ac 0.417 0.190 0.556 1
Ac6 Ac 0.444 0.583 0.810 1
Ac7 Ac 0.556 0.417 0.190 1
Ac8 Ac 0.583 0.810 0.444 1
Ac9 Ac 0.674 0.039 0.942 1
Ac10 Ac 0.810 0.444 0.583 1
Ac11 Ac 0.942 0.674 0.039 1
Ac12 Ac 0.961 0.058 0.326 1
Hg1 Hg 0.000 0.000 0.000 1
Pb1 Pb 0.126 0.316 0.630 1
Pb2 Pb 0.316 0.630 0.126 1
Pb3 Pb 0.370 0.874 0.684 1
Pb4 Pb 0.630 0.126 0.316 1
Pb5 Pb 0.684 0.370 0.874 1
Pb6 Pb 0.874 0.684 0.370 1
```

Properties
**Space-group type**: R-3, No. 148
**M_tot**: 0.0 μB per cell
**Energy relative to the elements**: -0.25 eV/atom

***

4.
VASP calculation (GGA-PBE) on an optimized crystal structure of AcHg6Pb3.

CIF file:
```
data_AcHg6Pb3
_chemical_formula_sum 'Ac1 Hg6 Pb3'
_symmetry_space_group_name_H-M 'P 1'
_symmetry_Int_Tables_number 1
_symmetry_space_group_name_Hall 'P 1'
_cell_length_a 7.050
_cell_length_b 7.050
_cell_length_c 7.050
_cell_angle_alpha 104.02
_cell_angle_beta 104.02
_cell_angle_gamma 104.02
loop_
_atom_site_label
_atom_site_type_symbol
_atom_site_fract_x
_atom_site_fract_y
_atom_site_fract_z
_atom_site_occupancy
Ac1 Ac 0.000 0.000 0.000 1
Hg1 Hg 0.033 0.611 0.611 1
Hg2 Hg 0.428 0.924 0.924 1
Hg3 Hg 0.611 0.033 0.611 1
Hg4 Hg 0.611 0.611 0.033 1
Hg5 Hg 0.924 0.428 0.924 1
Hg6 Hg 0.924 0.924 0.428 1
Pb1 Pb 0.306 0.306 0.607 1
Pb2 Pb 0.306 0.607 0.306 1
Pb3 Pb 0.607 0.306 0.306 1
```

Properties
**Space-group type**: R3m, No. 160
**M_tot**: 0.0 μB per cell
**Energy relative to the elements**: -0.06 eV/atom

***

5.
VASP calculation (GGA-PBE) on an optimized crystal structure of Ac5HgPb3.

CIF file:
```
data_Ac5HgPb3
_chemical_formula_sum 'Ac10 Hg2 Pb6'
_symmetry_space_group_name_H-M 'P 1'
_symmetry_Int_Tables_number 1
_symmetry_space_group_name_Hall 'P 1'
_cell_length_a 10.240
_cell_length_b 10.240
_cell_length_c 7.340
_cell_angle_alpha 90.00
_cell_angle_beta 90.00
_cell_angle_gamma 120.00
loop_
_atom_site_label
_atom_site_type_symbol
_atom_site_fract_x
_atom_site_fract_y
_atom_site_fract_z
_atom_site_occupancy
Ac1 Ac 0.000 0.276 0.250 1
Ac2 Ac 0.000 0.724 0.750 1
Ac3 Ac 0.276 0.000 0.250 1
Ac4 Ac 0.276 0.276 0.750 1
Ac5 Ac 0.333 0.667 0.000 1
Ac6 Ac 0.333 0.667 0.500 1
Ac7 Ac 0.667 0.333 0.000 1
Ac8 Ac 0.667 0.333 0.500 1
Ac9 Ac 0.724 0.000 0.750 1
Ac10 Ac 0.724 0.724 0.250 1
Hg1 Hg 0.000 0.000 0.000 1
Hg2 Hg 0.000 0.000 0.500 1
Pb1 Pb 0.000 0.378 0.750 1
Pb2 Pb 0.000 0.622 0.250 1
Pb3 Pb 0.378 0.000 0.750 1
Pb4 Pb 0.378 0.378 0.250 1
Pb5 Pb 0.622 0.000 0.250 1
Pb6 Pb 0.622 0.622 0.750 1
```

Properties
**Space-group type**: P6_3/mcm, No. 193
**M_tot**: 2.6 μB per cell
**Energy relative to the elements**: -0.50 eV/atom

***

6.
VASP calculation (GGA-PBE) on an optimized crystal structure of Ac4Hg2Pb5.

CIF file:
```
data_Ac4Hg2Pb5
_chemical_formula_sum 'Ac4 Hg2 Pb5'
_symmetry_space_group_name_H-M 'P 1'
_symmetry_Int_Tables_number 1
_symmetry_space_group_name_Hall 'P 1'
_cell_length_a 8.739
_cell_length_b 3.848
_cell_length_c 10.979
_cell_angle_alpha 90.00
_cell_angle_beta 92.75
_cell_angle_gamma 90.00
loop_
_atom_site_label
_atom_site_type_symbol
_atom_site_fract_x
_atom_site_fract_y
_atom_site_fract_z
_atom_site_occupancy
Ac1 Ac 0.182 0.000 0.379 1
Ac2 Ac 0.261 0.000 0.930 1
Ac3 Ac 0.739 0.000 0.070 1
Ac4 Ac 0.818 0.000 0.621 1
Hg1 Hg 0.067 0.500 0.132 1
Hg2 Hg 0.933 0.500 0.868 1
Pb1 Pb 0.178 0.500 0.658 1
Pb2 Pb 0.435 0.500 0.193 1
Pb3 Pb 0.500 0.500 0.500 1
Pb4 Pb 0.565 0.500 0.807 1
Pb5 Pb 0.822 0.500 0.342 1
```

Properties
**Space-group type**: P2/m, No. 10
**M_tot**: 0.0 μB per cell
**Energy relative to the elements**: -0.41 eV/atom

***

7.
VASP calculation (GGA-PBE) on an optimized crystal structure of Ac2Hg5Pb3.

CIF file:
```
data_Ac2Hg5Pb3
_chemical_formula_sum 'Ac4 Hg10 Pb6'
_symmetry_space_group_name_H-M 'P 1'
_symmetry_Int_Tables_number 1
_symmetry_space_group_name_Hall 'P 1'
_cell_length_a 10.043
_cell_length_b 10.043
_cell_length_c 10.043
_cell_angle_alpha 99.80
_cell_angle_beta 93.66
_cell_angle_gamma 139.99
loop_
_atom_site_label
_atom_site_type_symbol
_atom_site_fract_x
_atom_site_fract_y
_atom_site_fract_z
_atom_site_occupancy
Ac1 Ac 0.129 0.234 0.363 1
Ac2 Ac 0.371 0.734 0.105 1
Ac3 Ac 0.629 0.266 0.895 1
Ac4 Ac 0.871 0.766 0.637 1
Hg1 Hg 0.013 0.750 0.263 1
Hg2 Hg 0.145 0.870 0.015 1
Hg3 Hg 0.250 0.750 0.500 1
Hg4 Hg 0.355 0.370 0.725 1
Hg5 Hg 0.487 0.750 0.737 1
Hg6 Hg 0.513 0.250 0.263 1
Hg7 Hg 0.645 0.630 0.275 1
Hg8 Hg 0.750 0.250 0.500 1
Hg9 Hg 0.855 0.130 0.985 1
Hg10 Hg 0.987 0.250 0.737 1
Pb1 Pb 0.114 0.650 0.764 1
Pb2 Pb 0.250 0.250 0.000 1
Pb3 Pb 0.386 0.150 0.536 1
Pb4 Pb 0.614 0.850 0.464 1
Pb5 Pb 0.750 0.750 0.000 1
Pb6 Pb 0.886 0.350 0.236 1
```

Properties
**Space-group type**: Ibam, No. 72
**M_tot**: 0.0 μB per cell
**Energy relative to the elements**: -0.20 eV/atom

***

8.
VASP calculation (GGA-PBE) on an optimized crystal structure of AcHgPb.

CIF file:
```
data_AcHgPb
_chemical_formula_sum 'Ac1 Hg1 Pb1'
_symmetry_space_group_name_H-M 'P 1'
_symmetry_Int_Tables_number 1
_symmetry_space_group_name_Hall 'P 1'
_cell_length_a 5.300
_cell_length_b 5.300
_cell_length_c 5.300
_cell_angle_alpha 60.00
_cell_angle_beta 60.00
_cell_angle_gamma 60.00
loop_
_atom_site_label
_atom_site_type_symbol
_atom_site_fract_x
_atom_site_fract_y
_atom_site_fract_z
_atom_site_occupancy
Ac1 Ac 0.000 0.000 0.000 1
Hg1 Hg 0.750 0.750 0.750 1
Pb1 Pb 0.500 0.500 0.500 1
```

Properties
**Space-group type**: F-43m, No. 216
**M_tot**: 0.0 μB per cell
**Relative energy among the computed polymorphs**: 97 meV/atom
**Energy relative to the elements**: -0.39 eV/atom

***

9.
VASP calculation (GGA-PBE) on an optimized crystal structure of Ac4Hg2Pb.

CIF file:
```
data_Ac4Hg2Pb
_chemical_formula_sum 'Ac8 Hg4 Pb2'
_symmetry_space_group_name_H-M 'P 1'
_symmetry_Int_Tables_number 1
_symmetry_space_group_name_Hall 'P 1'
_cell_length_a 8.771
_cell_length_b 8.771
_cell_length_c 8.771
_cell_angle_alpha 108.66
_cell_angle_beta 108.66
_cell_angle_gamma 111.11
loop_
_atom_site_label
_atom_site_type_symbol
_atom_site_fract_x
_atom_site_fract_y
_atom_site_fract_z
_atom_site_occupancy
Ac1 Ac 0.118 0.511 0.743 1
Ac2 Ac 0.125 0.018 0.757 1
Ac3 Ac 0.261 0.368 0.243 1
Ac4 Ac 0.489 0.232 0.607 1
Ac5 Ac 0.625 0.882 0.393 1
Ac6 Ac 0.632 0.875 0.893 1
Ac7 Ac 0.768 0.375 0.257 1
Ac8 Ac 0.982 0.739 0.107 1
Hg1 Hg 0.006 0.125 0.381 1
Hg2 Hg 0.375 0.994 0.119 1
Hg3 Hg 0.744 0.625 0.619 1
Hg4 Hg 0.875 0.256 0.881 1
Pb1 Pb 0.250 0.750 0.500 1
Pb2 Pb 0.500 0.500 0.000 1
```

Properties
**Space-group type**: I-42d, No. 122
**M_tot**: 0.0 μB per cell
**Relative energy among the computed polymorphs**: 0 meV/atom
**Energy relative to the elements**: -0.38 eV/atom

***

10.
VASP calculation (GGA-PBE) on an optimized crystal structure of AcHg2Pb2.

CIF file:
```
data_AcHg2Pb2
_chemical_formula_sum 'Ac1 Hg2 Pb2'
_symmetry_space_group_name_H-M 'P 1'
_symmetry_Int_Tables_number 1
_symmetry_space_group_name_Hall 'P 1'
_cell_length_a 5.366
_cell_length_b 5.366
_cell_length_c 6.762
_cell_angle_alpha 112.61
_cell_angle_beta 112.61
_cell_angle_gamma 60.53
loop_
_atom_site_label
_atom_site_type_symbol
_atom_site_fract_x
_atom_site_fract_y
_atom_site_fract_z
_atom_site_occupancy
Ac1 Ac 0.000 0.000 0.000 1
Hg1 Hg 0.409 0.409 0.226 1
Hg2 Hg 0.591 0.591 0.774 1
Pb1 Pb 0.202 0.202 0.604 1
Pb2 Pb 0.798 0.798 0.396 1
```

Properties
**Space-group type**: C2/m, No. 12
**M_tot**: 0.0 μB per cell
**Relative energy among the computed polymorphs**: 0 meV/atom
**Energy relative to the elements**: -0.33 eV/atom